[1]
MgTaNi10: optimized geometry, GGA-PBE.

The structure in CIF format:
```
data_MgTaNi10
_chemical_formula_sum 'Mg1 Ta1 Ni10'
_cell_length_a 3.974
_cell_length_b 4.698
_cell_length_c 8.076
_cell_angle_alpha 90.00
_cell_angle_beta 90.00
_cell_angle_gamma 90.00
_symmetry_space_group_name_H-M 'P m m m'
_symmetry_Int_Tables_number 47
_symmetry_space_group_name_Hall '-P 2 2'
loop_
_atom_site_label
_atom_site_type_symbol
_atom_site_fract_x
_atom_site_fract_y
_atom_site_fract_z
Mg1 Mg 0.000 0.000 0.000
Ta1 Ta 0.000 0.500 0.500
Ni1 Ni 0.000 0.000 0.337
Ni2 Ni 0.000 0.500 0.172
Ni3 Ni 0.500 0.000 0.500
Ni4 Ni 0.500 0.255 0.258
Ni5 Ni 0.500 0.500 0.000
```

Output
Volume in Å³ per cell: 151
E_tot in eV/f.u.: -71.69
Crystal system: orthorhombic


[2]
Mg2TaNi: optimized geometry, GGA-PBE.

The structure in CIF format:
```
data_Mg2TaNi
_chemical_formula_sum 'Mg2 Ta1 Ni1'
_cell_length_a 2.874
_cell_length_b 2.874
_cell_length_c 8.007
_cell_angle_alpha 90.00
_cell_angle_beta 90.00
_cell_angle_gamma 90.00
_symmetry_space_group_name_H-M 'P 4/m m m'
_symmetry_Int_Tables_number 123
_symmetry_space_group_name_Hall '-P 4 2'
loop_
_atom_site_label
_atom_site_type_symbol
_atom_site_fract_x
_atom_site_fract_y
_atom_site_fract_z
Mg1 Mg 0.000 0.000 0.211
Ta1 Ta 0.500 0.500 0.500
Ni1 Ni 0.500 0.500 0.000
```

Output
Volume in Å³ per cell: 66
E_tot in eV/f.u.: -20.39
Crystal system: tetragonal


[3]
MgTaNi2: optimized geometry, GGA-PBE.

The structure in CIF format:
```
data_MgTaNi2
_chemical_formula_sum 'Mg2 Ta2 Ni4'
_cell_length_a 2.746
_cell_length_b 4.438
_cell_length_c 9.524
_cell_angle_alpha 90.00
_cell_angle_beta 90.00
_cell_angle_gamma 90.00
_symmetry_space_group_name_H-M 'I m m 2'
_symmetry_Int_Tables_number 44
_symmetry_space_group_name_Hall 'I 2 -2'
loop_
_atom_site_label
_atom_site_type_symbol
_atom_site_fract_x
_atom_site_fract_y
_atom_site_fract_z
Mg1 Mg 0.000 0.000 0.000
Ta1 Ta 0.000 0.500 0.210
Ni1 Ni 0.000 0.000 0.475
Ni2 Ni 0.000 0.500 0.763
```

Output
Volume in Å³ per cell: 116
E_tot in eV/f.u.: -25.20
Crystal system: orthorhombic


Listing DFT formation energy for the structures above in their given order: -0.036; 0.107; -0.048 eV per atom.
Listing size of the total moment for the structures above in their given order: 2.58; 0.00; 0.00 μB per cell.